Entry 1:
A relaxed structure of Ca2ReIr, computed with PBEsol.

The structure in CIF format:
```
data_Ca2ReIr
_cell_length_a 3.979
_cell_length_b 3.979
_cell_length_c 9.345
_cell_angle_alpha 90.00
_cell_angle_beta 90.00
_cell_angle_gamma 90.00
_space_group_name_H-M_alt 'I 4/m m m'
_space_group_IT_number 139
_space_group_name_Hall '-I 4 2'
loop_
_atom_site_label
_atom_site_fract_x
_atom_site_fract_y
_atom_site_fract_z
Ca1 0.000 0.500 0.250
Re1 0.000 0.000 0.000
Ir1 0.000 0.000 0.500
```

Results
Magnetic moment   0.0 μB/cell
Distance to the lowest polymorph of the same formula   58 meV/atom


Entry 2:
A relaxed structure of Ca2ReIr, computed with PBEsol.

The structure in CIF format:
```
data_Ca2ReIr
_cell_length_a 2.855
_cell_length_b 4.742
_cell_length_c 5.425
_cell_angle_alpha 90.00
_cell_angle_beta 100.61
_cell_angle_gamma 90.00
_space_group_name_H-M_alt 'P 1 2/m 1'
_space_group_IT_number 10
_space_group_name_Hall '-P 2y'
loop_
_atom_site_label
_atom_site_fract_x
_atom_site_fract_y
_atom_site_fract_z
Ca1 0.226 0.000 0.255
Re1 0.500 0.500 0.000
Ir1 0.000 0.500 0.500
```

Results
Magnetic moment   0.0 μB/cell
Distance to the lowest polymorph of the same formula   0 meV/atom


Entry 3:
A relaxed structure of Ca4ReIr, computed with PBEsol.

The structure in CIF format:
```
data_Ca4ReIr
_cell_length_a 8.100
_cell_length_b 8.100
_cell_length_c 8.100
_cell_angle_alpha 90.00
_cell_angle_beta 90.00
_cell_angle_gamma 90.00
_space_group_name_H-M_alt 'F -4 3 m'
_space_group_IT_number 216
_space_group_name_Hall 'F -4 2 3'
loop_
_atom_site_label
_atom_site_fract_x
_atom_site_fract_y
_atom_site_fract_z
Ca1 0.125 0.125 0.125
Re1 0.000 0.000 0.500
Ir1 0.250 0.250 0.750
```

Results
Magnetic moment   9.0 μB/cell


Formation enthalpy at 0 K for the records above, in order: 0.606; 0.548; 1.347 eV/atom